Record 1
A relaxed structure of Mn2ZnAu, computed with PBE-GGA.

Output
Space-group type: P4/mmm
Density of states at the Fermi level: 2.504 states/eV/cell
Energy of formation: 0.2 eV per formula unit

Cell lengths 3.2092, 3.2092, 6.0209 Å; angles 90.00, 90.00, 90.00 degrees
Each line ends with the local moment (μB).
Fractional coordinates of all 4 atoms:
Mn (0.0000, 0.0000, 0.0116)  3.70
Mn (0.0000, 0.0000, 0.4884)  3.70
Zn (0.5000, 0.5000, 0.2500)  -0.08
Au (0.5000, 0.5000, 0.7500)  0.07

=====

Record 2
A relaxed structure of Mn2ZnAu, computed with PBE-GGA.

Output
Space-group type: Cm
Density of states at the Fermi level: 2.690 states/eV/cell
Energy of formation: 0.4 eV per formula unit

Cell lengths 4.8071, 4.8071, 4.7130 Å; angles 78.52, 78.52, 34.93 degrees
Each line ends with the local moment (μB).
Fractional coordinates of all 4 atoms:
Mn (0.0019, 0.0019, 0.9975)  3.40
Mn (0.7521, 0.7521, 0.7413)  3.46
Zn (0.4980, 0.4980, 0.5158)  -0.07
Au (0.2480, 0.2480, 0.2454)  0.05

=====

Record 3
A relaxed structure of Mn2Zn2Au7, computed with PBE-GGA.

Output
Space-group type: C2/m
Density of states at the Fermi level: 4.473 states/eV/cell
Energy of formation: -0.1 eV per formula unit

Cell lengths 7.4002, 5.4999, 5.4999 Å; angles 118.68, 93.57, 93.57 degrees
Each line ends with the local moment (μB).
Fractional coordinates of all 11 atoms:
Au (0.3349, 0.3219, 0.3219)  0.05
Au (0.6651, 0.6781, 0.6781)  0.05
Au (0.8276, 0.1104, 0.5683)  0.04
Au (0.8276, 0.5683, 0.1104)  0.04
Au (0.1724, 0.8896, 0.4317)  0.04
Au (0.0000, 0.0000, 0.0000)  0.01
Au (0.1724, 0.4317, 0.8896)  0.04
Zn (0.6662, 0.1750, 0.1750)  -0.01
Zn (0.3338, 0.8250, 0.8250)  -0.01
Mn (0.5000, 0.2492, 0.7508)  3.82
Mn (0.5000, 0.7508, 0.2492)  3.82

=====

Record 4
A relaxed structure of MnZn2Au5, computed with PBE-GGA.

Output
Space-group type: Pbam
Density of states at the Fermi level: 5.954 states/eV/cell
Energy of formation: -1.0 eV per formula unit

Cell lengths 4.0871, 5.7565, 11.4339 Å; angles 90.00, 90.00, 90.00 degrees
Each line ends with the local moment (μB).
Fractional coordinates of all 16 atoms:
Zn (0.5000, 0.2235, 0.8701)  -0.01
Zn (0.5000, 0.7765, 0.1299)  -0.01
Zn (0.5000, 0.2765, 0.3701)  -0.01
Zn (0.5000, 0.7235, 0.6299)  -0.01
Au (0.5000, 0.7837, 0.3865)  0.03
Au (0.0000, 0.4658, 0.7562)  0.01
Au (0.5000, 0.2837, 0.1135)  0.03
Au (0.5000, 0.2163, 0.6135)  0.03
Au (0.0000, 0.0342, 0.2562)  0.01
Au (0.0000, 0.5000, 0.5000)  0.01
Au (0.0000, 0.9658, 0.7438)  0.01
Au (0.5000, 0.7163, 0.8865)  0.03
Au (0.0000, 0.5342, 0.2438)  0.01
Au (0.0000, 0.0000, 0.0000)  0.01
Mn (0.0000, 0.5000, 0.0000)  3.85
Mn (0.0000, 0.0000, 0.5000)  3.85

=====

Record 5
A relaxed structure of Mn2ZnAu8, computed with PBE-GGA.

Output
Space-group type: C2/m
Energy relative to the lowest polymorph listed for this composition: 180.7 meV per atom
Density of states at the Fermi level: 5.996 states/eV/cell
Energy of formation: 1.1 eV per formula unit

Cell lengths 2.8916, 7.3799, 9.2837 Å; angles 110.20, 98.96, 90.00 degrees
Each line ends with the local moment (μB).
Fractional coordinates of all 11 atoms:
Au (0.6061, 0.4465, 0.2122)  0.01
Au (0.8603, 0.8652, 0.7205)  0.00
Au (0.3093, 0.1491, 0.6186)  0.00
Au (0.1397, 0.1348, 0.2795)  0.00
Au (0.3939, 0.5535, 0.7878)  0.01
Au (0.9609, 0.2793, 0.9219)  0.00
Au (0.6907, 0.8509, 0.3814)  0.00
Au (0.0391, 0.7207, 0.0781)  0.00
Mn (0.7573, 0.4063, 0.5146)  0.39
Mn (0.2427, 0.5937, 0.4854)  0.39
Zn (0.5000, 0.0000, 0.0000)  0.00

=====

Record 6
A relaxed structure of MnZn4Au, computed with PBE-GGA.

Output
Space-group type: P4/mmm
Energy relative to the lowest polymorph listed for this composition: 23.7 meV per atom
Density of states at the Fermi level: 3.025 states/eV/cell
Energy of formation: -0.2 eV per formula unit

Cell lengths 3.0262, 3.0262, 9.8276 Å; angles 90.00, 90.00, 90.00 degrees
Each line ends with the local moment (μB).
Fractional coordinates of all 6 atoms:
Zn (0.0000, 0.0000, 0.6568)  -0.03
Zn (0.5000, 0.5000, 0.1796)  0.01
Zn (0.0000, 0.0000, 0.3432)  -0.03
Zn (0.5000, 0.5000, 0.8204)  0.01
Mn (0.5000, 0.5000, 0.5000)  3.28
Au (0.0000, 0.0000, 0.0000)  0.02

=====

Record 7
A relaxed structure of MnZnAu, computed with PBE-GGA.

Output
Space-group type: C2/m
Density of states at the Fermi level: 4.454 states/eV/cell
Energy of formation: 0.0 eV per formula unit

Cell lengths 3.8803, 3.8803, 6.4649 Å; angles 82.99, 97.01, 90.12 degrees
Each line ends with the local moment (μB).
Fractional coordinates of all 6 atoms:
Mn (0.2497, 0.2497, 0.0000)  3.37
Mn (0.7503, 0.7503, 0.0000)  3.37
Zn (0.8133, 0.1867, 0.3026)  -0.04
Zn (0.1867, 0.8133, 0.6974)  -0.04
Au (0.6891, 0.3109, 0.6867)  0.03
Au (0.3109, 0.6891, 0.3133)  0.03

=====

Record 8
A relaxed structure of Mn2ZnAu, computed with PBE-GGA.

Output
Space-group type: I4/mmm
Density of states at the Fermi level: 3.123 states/eV/cell
Energy of formation: 0.2 eV per formula unit

Cell lengths 4.7849, 4.7849, 4.7849 Å; angles 131.08, 131.13, 71.65 degrees
Each line ends with the local moment (μB).
Fractional coordinates of all 4 atoms:
Zn (0.7500, 0.2500, 0.5000)  -0.09
Mn (0.0000, 0.0000, 0.0000)  3.51
Mn (0.5000, 0.5000, 0.0000)  3.51
Au (0.2500, 0.7500, 0.5000)  0.05

=====

Record 9
A relaxed structure of MnZn8Au6, computed with PBE-GGA.

Output
Space-group type: R-3
Density of states at the Fermi level: 5.325 states/eV/cell
Energy of formation: -2.1 eV per formula unit

Cell lengths 7.6079, 7.6079, 6.9547 Å; angles 56.84, 56.84, 60.00 degrees
Each line ends with the local moment (μB).
Fractional coordinates of all 15 atoms:
Mn (0.0000, 0.0000, 0.0000)  4.00
Au (0.2830, 0.6063, 0.1669)  0.02
Au (0.7170, 0.3937, 0.8331)  0.02
Au (0.3937, 0.0562, 0.8331)  0.02
Au (0.0562, 0.7170, 0.8331)  0.02
Au (0.6063, 0.9438, 0.1669)  0.02
Au (0.9438, 0.2830, 0.1669)  0.02
Zn (0.5596, 0.2048, 0.3542)  0.00
Zn (0.3336, 0.3336, 0.9992)  0.00
Zn (0.1186, 0.4404, 0.6458)  0.00
Zn (0.2048, 0.8814, 0.3542)  0.00
Zn (0.7952, 0.1186, 0.6458)  0.00
Zn (0.6664, 0.6664, 0.0008)  0.00
Zn (0.4404, 0.7952, 0.6458)  0.00
Zn (0.8814, 0.5596, 0.3542)  0.00

=====

Record 10
A relaxed structure of Mn6ZnAu12, computed with PBE-GGA.

Output
Space-group type: R-3
Density of states at the Fermi level: 15.033 states/eV/cell
Energy of formation: 5.8 eV per formula unit

Cell lengths 6.9474, 6.9474, 6.9474 Å; angles 99.84, 99.84, 99.84 degrees
Fractional coordinates of all 19 atoms:
Mn (0.5622, 0.6764, 0.3020)
Mn (0.3020, 0.5622, 0.6764)
Mn (0.4378, 0.3236, 0.6980)
Mn (0.3236, 0.6980, 0.4378)
Mn (0.6980, 0.4378, 0.3236)
Mn (0.6764, 0.3020, 0.5622)
Au (0.6481, 0.6689, 0.9346)
Au (0.3311, 0.0654, 0.3519)
Au (0.0654, 0.3519, 0.3311)
Au (0.9689, 0.7489, 0.2764)
Au (0.7236, 0.0311, 0.2511)
Au (0.7489, 0.2764, 0.9689)
Au (0.2764, 0.9689, 0.7489)
Au (0.6689, 0.9346, 0.6481)
Au (0.0311, 0.2511, 0.7236)
Au (0.3519, 0.3311, 0.0654)
Au (0.9346, 0.6481, 0.6689)
Au (0.2511, 0.7236, 0.0311)
Zn (0.0000, 0.0000, 0.0000)

=====

Record 11
A relaxed structure of Mn2Zn2Au, computed with PBE-GGA.

Output
Space-group type: I4/mmm
Energy relative to the lowest polymorph listed for this composition: 205.7 meV per atom
Density of states at the Fermi level: 4.094 states/eV/cell
Energy of formation: 1.4 eV per formula unit

Cell lengths 3.5066, 3.5066, 7.3548 Å; angles 76.21, 76.21, 90.00 degrees
Each line ends with the local moment (μB).
Fractional coordinates of all 5 atoms:
Mn (0.4020, 0.4020, 0.1960)  3.84
Mn (0.5980, 0.5980, 0.8040)  3.84
Au (0.0000, 0.0000, 0.0000)  0.10
Zn (0.2500, 0.7500, 0.5000)  -0.04
Zn (0.7500, 0.2500, 0.5000)  -0.04

=====

Record 12
A relaxed structure of Mn2ZnAu, computed with PBE-GGA.

Output
Space-group type: R3m
Density of states at the Fermi level: 2.674 states/eV/cell
Energy of formation: 0.5 eV per formula unit

Cell lengths 8.7833, 8.7833, 8.7833 Å; angles 18.44, 18.44, 18.44 degrees
Each line ends with the local moment (μB).
Fractional coordinates of all 4 atoms:
Zn (0.5046, 0.5046, 0.5046)  0.02
Mn (0.9934, 0.9934, 0.9934)  2.92
Mn (0.2536, 0.2536, 0.2536)  -2.81
Au (0.7485, 0.7485, 0.7485)  0.01

=====

In μB/atom, the total magnetization values for the records above are, in order, 1.91, 1.76, 0.76, 0.51, 0.08, 0.57, 1.16, 1.80, 0.29, 0.00, 1.63, 0.04.